1.
DFT (GGA-PBE) results for a geometry-optimized PmEuTl structure.

a = 3.8650 Å, b = 3.8650 Å, c = 13.2968 Å
α = 90.00°, β = 90.00°, γ = 90.00°
Last column: nearest neighbours and their distance in Å.
Space group I4mm (No. 107)
Unique sites:
Pm: 0.0000 0.0000 0.0000 [2 per cell]  4 Tl 3.33
Eu: 0.0000 0.0000 0.3000 [2 per cell]  4 Tl 3.43, 4 Pm 3.81
Tl: 0.0000 0.0000 0.6436 [2 per cell]  4 Pm 3.33, 4 Eu 3.43

## Properties
Energy of formation, eV per atom: -0.22
Crystal system: tetragonal
Total magnetization, Bohr magnetons per cell: 16.15


2.
DFT (GGA-PBE) results for a geometry-optimized PmEuTl2 structure.

a = 3.9237 Å, b = 3.9237 Å, c = 7.8958 Å
α = 90.00°, β = 90.00°, γ = 90.00°
Last column: nearest neighbours and their distance in Å.
Space group P4/mmm (No. 123)
Unique sites:
Pm: 0.0000 0.0000 0.0000 [1 per cell]  8 Tl 3.36
Eu: 0.0000 0.0000 0.5000 [1 per cell]  8 Tl 3.45
Tl: 0.5000 0.5000 0.2402 [2 per cell]  4 Pm 3.36, 4 Eu 3.45

## Properties
Energy of formation, eV per atom: -0.41
Crystal system: tetragonal
Total magnetization, Bohr magnetons per cell: 7.17


3.
DFT (GGA-PBE) results for a geometry-optimized PmEuTl structure.

a = 5.4290 Å, b = 5.4290 Å, c = 3.7920 Å
α = 90.00°, β = 90.00°, γ = 120.00°
Last column: nearest neighbours and their distance in Å.
Space group P3m1 (No. 156)
Unique sites:
Pm: 0.0000 0.0000 0.0000 [1 per cell]  3 Tl 3.24, 3 Eu 3.53
Eu: 0.6667 0.3333 0.4272 [1 per cell]  3 Tl 3.41, 6 Pm 3.53-3.81, 2 Eu 3.79
Tl: 0.3333 0.6667 0.7838 [1 per cell]  3 Pm 3.24, 3 Eu 3.41

## Properties
Energy of formation, eV per atom: -0.18
Crystal system: trigonal
Total magnetization, Bohr magnetons per cell: 7.12